Model 1:
First-principles (GGA-PBE) data for crystalline CeGd2Pb at its relaxed geometry, as listed in Alexandria via LeMat-Bulk.

Geometry as extended XYZ:
```
4
Lattice="-0.369 3.069 -3.635 -4.144 1.873 2.002 2.715 3.311 2.521" Properties=species:S:1:pos:R:3 pbc="T T T"
Pb -0.184 1.534 -1.817
Gd 1.357 1.656 1.260
Gd -2.072 0.937 1.001
Ce -0.899 4.127 0.444
```

- space group = No. 123
- magnetic moment (μB per cell) = 16.55

Model 2:
First-principles (GGA-PBE) data for crystalline CeGd2Pb at its relaxed geometry, as listed in Alexandria via LeMat-Bulk.

Geometry as extended XYZ:
```
4
Lattice="5.502 0.000 0.000 2.751 4.765 0.000 2.751 1.588 4.493" Properties=species:S:1:pos:R:3 pbc="T T T"
Pb 5.502 3.177 2.246
Gd 2.751 1.588 1.123
Gd 8.253 4.765 3.369
Ce 0.000 0.000 0.000
```

- space group = No. 225
- magnetic moment (μB per cell) = 18.25

Energy relative to the most stable one, in meV/atom: model 1 0; model 2 171